1.
VASP calculation (GGA-PBE) on crystalline HgAsPtSe2 at its relaxed geometry.

Cell: 5.2447 5.2447 4.6617 Å, 90.00 90.00 90.00°
Last column: nearest neighbours and their distance in Å.
Atoms (fractional coordinates):
Hg: 0.0000 0.0000 0.0000  8 Se 3.51, 4 As 3.71
As: 0.5000 0.5000 0.0000  2 Pt 2.33
Pt: 0.5000 0.5000 0.5000  2 As 2.33
Se: 0.0000 0.5000 0.5000  2 Pt 2.62
Se: 0.5000 0.0000 0.5000  2 Pt 2.62

Raw formation energy in eV per atom: 0.429
Calculated density in g/cm3: 8.1
Calculated volume in Å³/f.u.: 128.23
Calculated total energy in eV per atom: -3.164

2.
VASP calculation (GGA-PBE) on crystalline SrGa6Ni4 at its relaxed geometry.

Cell: 7.0351 7.0351 4.0145 Å, 90.00 90.00 120.00°
Last column: nearest neighbours and their distance in Å.
Atoms (fractional coordinates):
Sr: 0.0000 0.0000 0.0000  6 Ga 3.16, 6 Ni 3.28
Ga: 0.2000 0.4000 0.5000  4 Ni 2.52-2.58, 2 Ga 2.81
Ga: 0.2000 0.8000 0.5000  4 Ni 2.52-2.58, 2 Ga 2.81
Ga: 0.5346 0.0691 0.0000  5 Ni 2.45-2.53
Ga: 0.5346 0.4654 0.0000  5 Ni 2.45-2.53
Ga: 0.6000 0.8000 0.5000  4 Ni 2.52-2.58, 2 Ga 2.81
Ga: 0.9309 0.4654 0.0000  5 Ni 2.45-2.53
Ni: 0.3333 0.6667 0.0000  9 Ga 2.45-2.58
Ni: 0.4256 0.2128 0.5000  6 Ga 2.52-2.53, 2 Ni 2.54
Ni: 0.7872 0.2128 0.5000  6 Ga 2.52-2.53, 2 Ni 2.54
Ni: 0.7872 0.5744 0.5000  6 Ga 2.52-2.53, 2 Ni 2.54

Calculated density in g/cm3: 7.1
Calculated volume in Å³/f.u.: 172.07
Calculated total energy in eV per atom: -4.303

3.
VASP calculation (GGA-PBE) on crystalline LiSnSeI at its relaxed geometry.

Cell: 4.3167 4.3167 7.5882 Å, 90.00 90.00 120.00°
Last column: nearest neighbours and their distance in Å.
Atoms (fractional coordinates):
Li: 0.0000 0.0000 0.0000  3 Se 2.69, 1 I 2.79
Sn: 0.6667 0.3333 0.3524  3 Se 3.00, 3 I 3.28
Se: 0.3333 0.6667 0.1329  3 Li 2.69, 3 Sn 3.00
I: 0.0000 0.0000 0.6327  1 Li 2.79

Raw formation energy in eV per atom: -0.733
Calculated density in g/cm3: 4.5
Calculated volume in Å³/f.u.: 122.45
Calculated total energy in eV per atom: -3.471

4.
VASP calculation (GGA-PBE) on crystalline CsSnPb2 at its relaxed geometry.

Cell: 4.2013 4.2013 8.4781 Å, 90.00 90.00 90.00°
Last column: nearest neighbours and their distance in Å.
Atoms (fractional coordinates):
Cs: 0.0000 0.0000 0.0000  8 Pb 4.03, 4 Cs 4.20, 2 Sn 4.24
Sn: 0.0000 0.0000 0.5000  8 Pb 3.33
Pb: 0.5000 0.5000 0.3216  1 Pb 3.03, 4 Sn 3.33
Pb: 0.5000 0.5000 0.6784  1 Pb 3.03, 4 Sn 3.33

Calculated density in g/cm3: 7.4
Calculated volume in Å³/f.u.: 149.65
Calculated total energy in eV per atom: -3.176

5.
VASP calculation (GGA-PBE) on crystalline SmHoTm2Tl4 at its relaxed geometry.

Cell: 9.3095 9.3095 9.3095 Å, 33.43 33.43 33.43°
Last column: nearest neighbours and their distance in Å.
Atoms (fractional coordinates):
Sm: 0.0000 0.0000 0.0000  8 Tl 3.29-3.32
Ho: 0.5000 0.5000 0.5000  8 Tl 3.26-3.27
Tm: 0.2495 0.2495 0.2495  8 Tl 3.25-3.34
Tm: 0.7505 0.7505 0.7505  8 Tl 3.25-3.34
Tl: 0.1261 0.1261 0.1261  4 Tm 3.25-3.29, 3 Ho 3.27, 1 Sm 3.32
Tl: 0.3762 0.3762 0.3762  1 Ho 3.26, 4 Tm 3.28-3.34, 3 Sm 3.29
Tl: 0.6238 0.6238 0.6238  1 Ho 3.26, 4 Tm 3.28-3.34, 3 Sm 3.29
Tl: 0.8739 0.8739 0.8739  4 Tm 3.25-3.29, 3 Ho 3.27, 1 Sm 3.32

Calculated density in g/cm3: 11.2
Calculated volume in Å³/f.u.: 218.12
Calculated total energy in eV per atom: -3.784

6.
VASP calculation (GGA-PBE) on crystalline LaHBr3 at its relaxed geometry.

Cell: 7.7380 7.9462 13.8486 Å, 90.00 109.22 90.00°
Last column: nearest neighbours and their distance in Å.
Atoms (fractional coordinates):
La: 0.0003 0.2502 0.0838  6 Br 2.94-2.98
La: 0.9997 0.2502 0.4162  6 Br 2.94-2.98
La: 0.0003 0.7498 0.5838  6 Br 2.94-2.98
La: 0.9997 0.7498 0.9162  6 Br 2.94-2.98
H: 0.0515 0.2303 0.7604  1 H 0.75
H: 0.0515 0.7697 0.2604  1 H 0.75
H: 0.9485 0.2303 0.7396  1 H 0.75
H: 0.9485 0.7697 0.2396  1 H 0.75
Br: 0.2517 0.0198 0.0303  2 La 2.94-2.98
Br: 0.2516 0.4780 0.5640  2 La 2.94-2.98
Br: 0.2516 0.5220 0.0640  2 La 2.94-2.98
Br: 0.2517 0.9802 0.5303  2 La 2.94-2.98
Br: 0.2543 0.2505 0.2970  2 La 2.96
Br: 0.2543 0.7495 0.7970  2 La 2.96
Br: 0.7457 0.2505 0.2030  2 La 2.96
Br: 0.7457 0.7495 0.7030  2 La 2.96
Br: 0.7483 0.0198 0.4697  2 La 2.94-2.98
Br: 0.7484 0.4780 0.9360  2 La 2.94-2.98
Br: 0.7484 0.5220 0.4360  2 La 2.94-2.98
Br: 0.7483 0.9802 0.9697  2 La 2.94-2.98

Calculated density in g/cm3: 3.1
Calculated volume in Å³/f.u.: 201.01
Calculated total energy in eV per atom: -4.234

7.
VASP calculation (GGA-PBE) on crystalline Na2SrHg at its relaxed geometry.

Cell: 12.2682 12.2682 12.2682 Å, 18.27 18.27 18.27°
Last column: nearest neighbours and their distance in Å.
Atoms (fractional coordinates):
Na: 0.1025 0.1025 0.1025  3 Hg 3.23
Na: 0.8975 0.8975 0.8975  3 Hg 3.23
Sr: 0.0000 0.0000 0.0000  2 Na 3.71, 6 Sr 3.90
Hg: 0.5000 0.5000 0.5000  6 Na 3.23

Calculated density in g/cm3: 3.5
Calculated volume in Å³/f.u.: 158.46
Calculated total energy in eV per atom: -1.122

8.
VASP calculation (GGA-PBE) on crystalline DyCoB3 at its relaxed geometry.

Cell: 7.9817 7.9817 4.5424 Å, 90.00 90.00 157.96°
Last column: nearest neighbours and their distance in Å.
Atoms (fractional coordinates):
Dy: 0.0785 0.9215 0.7500  6 B 2.74-2.90, 4 Co 2.78, 2 Dy 3.05
Dy: 0.9215 0.0785 0.2500  6 B 2.74-2.90, 4 Co 2.78, 2 Dy 3.05
Co: 0.3904 0.6096 0.7500  4 B 2.02-2.09
Co: 0.6096 0.3904 0.2500  4 B 2.02-2.09
B: 0.1941 0.8059 0.2500  2 B 1.75
B: 0.2885 0.7115 0.0458  2 B 1.75-1.86
B: 0.2885 0.7115 0.4542  2 B 1.75-1.86
B: 0.7115 0.2885 0.5458  2 B 1.75-1.86
B: 0.7115 0.2885 0.9542  2 B 1.75-1.86
B: 0.8059 0.1941 0.7500  2 B 1.75

Calculated density in g/cm3: 7.8
Calculated volume in Å³/f.u.: 54.30
Calculated total energy in eV per atom: -6.436

9.
VASP calculation (GGA-PBE) on crystalline TbNd2InO at its relaxed geometry.

Cell: 5.0017 5.0017 4.7880 Å, 90.00 90.00 90.00°
Last column: nearest neighbours and their distance in Å.
Atoms (fractional coordinates):
Tb: 0.0000 0.0000 0.0000  2 O 2.39
Nd: 0.0000 0.5000 0.5000  2 O 2.50
Nd: 0.5000 0.0000 0.5000  2 O 2.50
In: 0.5000 0.5000 0.0000  8 Nd 3.46, 4 Tb 3.54
O: 0.0000 0.0000 0.5000  2 Tb 2.39, 4 Nd 2.50

Raw formation energy in eV per atom: -1.412
Calculated density in g/cm3: 8.0
Calculated volume in Å³/f.u.: 119.78
Calculated total energy in eV per atom: -5.784

10.
VASP calculation (GGA-PBE) on crystalline InP2S at its relaxed geometry.

Cell: 4.6643 4.6643 4.6643 Å, 60.00 60.00 60.00°
Last column: nearest neighbours and their distance in Å.
Atoms (fractional coordinates):
In: 0.0000 0.0000 0.0000  8 P 2.86
P: 0.2500 0.2500 0.2500  4 S 2.86, 4 In 2.86
P: 0.7500 0.7500 0.7500  4 S 2.86, 4 In 2.86
S: 0.5000 0.5000 0.5000  8 P 2.86

Raw formation energy in eV per atom: 0.711
Calculated density in g/cm3: 4.8
Calculated volume in Å³/f.u.: 71.75
Calculated total energy in eV per atom: -3.711

11.
VASP calculation (GGA-PBE) on crystalline CsSnBiN2 at its relaxed geometry.

Cell: 4.5619 4.5619 5.8335 Å, 90.00 90.00 90.00°
Last column: nearest neighbours and their distance in Å.
Atoms (fractional coordinates):
Cs: 0.0000 0.0000 0.0000  4 Bi 3.23
Sn: 0.5000 0.5000 0.5000  4 N 2.28
Bi: 0.5000 0.5000 0.0000  2 Sn 2.92, 4 Cs 3.23
N: 0.0000 0.5000 0.5000  2 Sn 2.28
N: 0.5000 0.0000 0.5000  2 Sn 2.28

Raw formation energy in eV per atom: 1.362
Calculated density in g/cm3: 6.7
Calculated volume in Å³/f.u.: 121.40
Calculated total energy in eV per atom: -3.716

12.
VASP calculation (GGA-PBE) on crystalline OsClF4 at its relaxed geometry.

Cell: 4.7849 6.7159 7.1612 Å, 90.92 90.47 91.35°
Last column: nearest neighbours and their distance in Å.
Atoms (fractional coordinates):
Os: 0.2443 0.2676 0.2436  4 F 1.88-1.89
Os: 0.7557 0.7324 0.7564  4 F 1.88-1.89
Cl: 0.2569 0.7800 0.7422  2 Os 2.42
Cl: 0.7431 0.2200 0.2578  2 Os 2.42
F: 0.2351 0.9945 0.1741  1 Os 1.89
F: 0.2437 0.3382 0.9898  1 Os 1.89
F: 0.2450 0.2010 0.4991  1 Os 1.89
F: 0.2541 0.5396 0.3108  1 Os 1.88
F: 0.7459 0.4604 0.6892  1 Os 1.88
F: 0.7550 0.7990 0.5009  1 Os 1.89
F: 0.7563 0.6618 0.0102  1 Os 1.89
F: 0.7649 0.0055 0.8259  1 Os 1.89

Raw formation energy in eV per atom: -1.325
Calculated density in g/cm3: 4.4
Calculated volume in Å³/f.u.: 115.01
Calculated total energy in eV per atom: -4.752

13.
VASP calculation (GGA-PBE) on crystalline AgSnTe2F at its relaxed geometry.

Cell: 5.6699 5.6699 5.3481 Å, 90.00 90.00 90.00°
Last column: nearest neighbours and their distance in Å.
Atoms (fractional coordinates):
Ag: 0.0000 0.0000 0.0000  2 Sn 2.67
Sn: 0.0000 0.0000 0.5000  2 Ag 2.67, 4 Te 2.83
Te: 0.0000 0.5000 0.5000  2 Sn 2.83
Te: 0.5000 0.0000 0.5000  2 Sn 2.83
F: 0.5000 0.5000 0.0000  8 Te 3.90, 4 Ag 4.01

Raw formation energy in eV per atom: 0.309
Calculated density in g/cm3: 4.8
Calculated volume in Å³/f.u.: 171.93
Calculated total energy in eV per atom: -2.693

14.
VASP calculation (GGA-PBE) on crystalline La4Pm3Nd at its relaxed geometry.

Cell: 12.9883 12.9883 6.3346 Å, 93.65 93.65 15.68°
Last column: nearest neighbours and their distance in Å.
Atoms (fractional coordinates):
La: 0.1060 0.1060 0.2366  3 Pm 3.29-3.32, 4 La 3.43-3.54, 2 Nd 3.51
La: 0.2795 0.2795 0.7569  4 La 3.43-3.54, 1 Pm 3.49
La: 0.7205 0.7205 0.2431  4 La 3.43-3.54, 1 Pm 3.49
La: 0.8940 0.8940 0.7634  3 Pm 3.29-3.32, 4 La 3.43-3.54, 2 Nd 3.51
Pm: 0.0000 0.0000 0.5000  2 La 3.29, 2 Pm 3.54, 4 Nd 3.63
Pm: 0.1436 0.1436 0.7457  3 La 3.31-3.49, 2 Pm 3.54
Pm: 0.8564 0.8564 0.2543  3 La 3.31-3.49, 2 Pm 3.54
Nd: 0.5000 0.5000 0.0000  4 La 3.51, 2 Nd 3.54, 4 Pm 3.63

Calculated density in g/cm3: 6.5
Calculated volume in Å³/f.u.: 288.15
Calculated total energy in eV per atom: -4.643

15.
VASP calculation (GGA-PBE) on crystalline GaCu2Ge at its relaxed geometry.

Cell: 5.6003 5.6003 5.6003 Å, 102.97 102.97 123.45°
Last column: nearest neighbours and their distance in Å.
Atoms (fractional coordinates):
Ga: 0.0000 0.0000 0.0000  4 Cu 2.57, 2 Ge 2.65
Ga: 0.7500 0.2500 0.5000  4 Cu 2.57, 2 Ge 2.65
Cu: 0.1286 0.1250 0.5036  2 Ge 2.54, 2 Ga 2.57, 2 Cu 2.65
Cu: 0.3750 0.8714 0.9964  2 Ge 2.54, 2 Ga 2.57, 2 Cu 2.65
Cu: 0.6214 0.6250 0.4964  2 Ge 2.54, 2 Ga 2.57, 2 Cu 2.65
Cu: 0.8750 0.3786 0.0036  2 Ge 2.54, 2 Ga 2.57, 2 Cu 2.65
Ge: 0.2500 0.7500 0.5000  4 Cu 2.54, 2 Ga 2.65
Ge: 0.5000 0.5000 0.0000  4 Cu 2.54, 2 Ga 2.65

Calculated density in g/cm3: 6.9
Calculated volume in Å³/f.u.: 64.53
Calculated total energy in eV per atom: -3.699